An optimized crystal structure of Pm2SbS6, computed with PBE.

The structure in POSCAR format:
```
Pm2SbS6
1.0
5.856 0.000 0.143
0.000 7.519 0.000
-0.545 0.000 9.273
S Sb Pm
12 2 4
Cartesian
3.358 3.541 2.497
0.157 0.219 7.062
4.587 5.193 5.142
4.509 5.039 8.941
1.854 6.240 4.234
3.456 1.279 5.182
0.801 2.480 0.474
1.931 6.085 0.434
3.379 1.434 8.981
5.153 7.300 2.354
1.953 3.978 6.919
0.724 2.326 4.274
-0.273 0.000 4.636
2.928 3.760 0.071
2.420 0.825 2.299
2.890 6.695 7.117
5.076 2.935 7.007
0.235 4.584 2.409
```

Computed properties:
Raw total energy in eV/atom: -5.32
Total magnetization in μB per cell: 0.0

=====

An optimized crystal structure of Zr2CdHAu, computed with PBE.

The structure in POSCAR format:
```
Zr2CdHAu
1.0
-3.985 1.552 0.694
-0.407 -2.588 3.451
1.708 3.217 2.614
Cd Zr H Au
1 2 1 1
Cartesian
0.854 1.609 1.307
-1.992 0.776 0.347
-0.204 -1.294 1.725
0.000 0.000 0.000
-1.342 1.091 3.379
```

Computed properties:
Raw total energy in eV/atom: -5.21
Total magnetization in μB per cell: 0.0
Distance to the lowest polymorph of the same formula in meV per atom: 0

=====

| no. | DOS(E_F) (states/eV per atom) |
| --- | --- |
| 1 | 0.490 |
| 2 | 0.648 |